[1]
The following is a DFT calculation (GGA-PBE) of crystalline Dy3Er2Mg2 at its relaxed geometry.

Properties
As for the energy: -3.69 eV per atom. The calculation puts the density of states at the Fermi level at 7.197 states/eV/cell. The formation energy from the elements is 38 meV/atom.

```
Dy3Er2Mg2
1.0
-0.5762 1.6975 -4.9088
-2.4285 -2.3937 -0.5426
-8.3029 8.1913 1.0255
Dy Er Mg
3 2 2
Direct
0.8494 0.0000 0.3011
0.0000 0.0000 0.0000
0.1506 0.0000 0.6989
0.7117 0.5000 0.5766
0.2883 0.5000 0.4234
0.5689 0.5000 0.8622
0.4311 0.5000 0.1378
```

---

[2]
The following is a DFT calculation (GGA-PBE) of crystalline Dy12Er7Mg at its relaxed geometry.

Properties
As for the energy: -4.22 eV per atom. The calculation puts the density of states at the Fermi level at 30.101 states/eV/cell. The formation energy from the elements is 217 meV/atom.

```
Dy12Er7Mg
1.0
-7.3498 3.9426 -2.1843
-4.8945 -6.5456 2.7450
-1.0531 3.4367 7.8368
Dy Er Mg
12 7 1
Direct
0.8554 0.2500 0.7374
0.7500 0.2626 0.1446
0.6167 0.1373 0.4970
0.8627 0.5030 0.3833
0.2626 0.1446 0.7500
0.5030 0.3833 0.8627
0.4970 0.6167 0.1373
0.7374 0.8554 0.2500
0.1373 0.4970 0.6167
0.3833 0.8627 0.5030
0.2500 0.7374 0.8554
0.1446 0.7500 0.2626
0.8497 0.6041 0.9278
0.3959 0.0722 0.1503
0.0722 0.1503 0.3959
0.5000 0.5000 0.5000
0.9278 0.8497 0.6041
0.6041 0.9278 0.8497
0.1503 0.3959 0.0722
0.0000 0.0000 0.0000
```

---

[3]
The following is a DFT calculation (GGA-PBE) of crystalline DyEr2Mg7 at its relaxed geometry.

Properties
As for the energy: -2.26 eV per atom. The calculation puts the density of states at the Fermi level at 9.567 states/eV/cell. The formation energy from the elements is 229 meV/atom.

```
DyEr2Mg7
1.0
3.3392 0.0000 0.0000
0.0000 7.5256 0.0000
0.0000 -3.7628 10.9471
Dy Er Mg
1 2 7
Direct
0.0000 0.0000 0.0000
0.5000 0.7396 0.4792
0.5000 0.2604 0.5208
0.0000 0.6117 0.2234
0.0000 0.3883 0.7766
0.5000 0.6875 0.7528
0.5000 0.3125 0.2472
0.5000 0.9347 0.2472
0.5000 0.0653 0.7528
0.5000 0.5000 0.0000
```

---

[4]
The following is a DFT calculation (GGA-PBE) of crystalline Dy7ErMg4 at its relaxed geometry.

Properties
As for the energy: -3.42 eV per atom. The calculation puts the density of states at the Fermi level at 15.079 states/eV/cell. The formation energy from the elements is 175 meV/atom.

```
Dy7ErMg4
1.0
-5.3094 0.7969 -1.9991
-5.8047 -4.1032 5.5721
-4.0023 5.3070 4.5363
Dy Er Mg
7 1 4
Direct
0.7984 0.8779 0.5254
0.2016 0.1221 0.4746
0.0797 0.5760 0.2646
0.9203 0.4240 0.7354
0.2504 0.7122 0.7870
0.5000 0.0000 0.0000
0.7496 0.2878 0.2130
0.0000 0.0000 0.0000
0.5418 0.3022 0.6142
0.4582 0.6978 0.3858
0.6750 0.6542 0.9957
0.3250 0.3458 0.0043
```

---

[5]
The following is a DFT calculation (GGA-PBE) of crystalline Dy6Er8Mg at its relaxed geometry.

Properties
As for the energy: -4.13 eV per atom. The calculation puts the density of states at the Fermi level at 19.655 states/eV/cell. The formation energy from the elements is 250 meV/atom.

```
Dy6Er8Mg
1.0
-3.9408 -0.8220 -5.2125
6.6379 -4.7479 -4.2697
-6.1118 -4.3883 5.3126
Dy Er Mg
6 8 1
Direct
0.6007 0.6801 0.0880
0.6007 0.9120 0.5920
0.6007 0.4080 0.3199
0.3993 0.3199 0.9120
0.3993 0.0880 0.4080
0.3993 0.5920 0.6801
0.8935 0.9823 0.3130
0.8935 0.6870 0.6693
0.8935 0.3307 0.0177
0.1065 0.0177 0.6870
0.1065 0.3130 0.3307
0.1065 0.6693 0.9823
0.8288 0.3333 0.6667
0.1712 0.6667 0.3333
0.5000 0.0000 0.0000
```

---

[6]
The following is a DFT calculation (GGA-PBE) of crystalline Dy4Er6Mg at its relaxed geometry.

Properties
As for the energy: -4.03 eV per atom. The calculation puts the density of states at the Fermi level at 13.005 states/eV/cell. The formation energy from the elements is 282 meV/atom.

```
Dy4Er6Mg
1.0
-2.6969 1.8009 5.5655
-5.8311 -0.3409 -2.7153
3.6553 -8.8193 0.8976
Dy Er Mg
4 6 1
Direct
0.0405 0.6893 0.7297
0.9595 0.9595 0.2703
0.6893 0.0405 0.7297
0.3107 0.3107 0.2703
0.8513 0.4851 0.3364
0.4851 0.8513 0.3364
0.5149 0.5149 0.6636
0.0000 0.5000 0.0000
0.1487 0.1487 0.6636
0.5000 0.0000 0.0000
0.5000 0.5000 0.0000
```

---

[7]
The following is a DFT calculation (GGA-PBE) of crystalline Dy12Er5Mg2 at its relaxed geometry.

Properties
As for the energy: -4.17 eV per atom. The calculation puts the density of states at the Fermi level at 30.683 states/eV/cell. The formation energy from the elements is 103 meV/atom.

```
Dy12Er5Mg2
1.0
-6.2423 5.6999 3.2773
-1.5007 -4.3835 -7.7749
-3.4479 -6.2335 4.2742
Dy Er Mg
12 5 2
Direct
0.9116 0.8231 0.1088
0.0320 0.6938 0.7569
0.6618 0.6938 0.7569
0.1805 0.7500 0.3327
0.5695 0.7500 0.3327
0.4425 0.8850 0.6659
0.5575 0.1150 0.3341
0.8195 0.2500 0.6673
0.4305 0.2500 0.6673
0.9680 0.3062 0.2431
0.3382 0.3062 0.2431
0.0884 0.1769 0.8912
0.2346 0.4693 0.5784
0.3007 0.6014 0.9899
0.0000 0.0000 0.5000
0.6993 0.3986 0.0101
0.7654 0.5307 0.4216
0.6721 0.0000 0.0000
0.3279 0.0000 0.0000
```

---

[8]
The following is a DFT calculation (GGA-PBE) of crystalline DyErMg2 at its relaxed geometry.

Properties
As for the energy: -3.16 eV per atom. The calculation puts the density of states at the Fermi level at 5.323 states/eV/cell. The formation energy from the elements is -75 meV/atom.

```
DyErMg2
1.0
-1.2993 3.3056 1.2069
-2.5928 -2.4730 3.9822
4.3047 0.5451 3.1413
Mg Dy Er
2 1 1
Direct
0.0000 0.0000 0.5000
0.0000 0.5000 0.0000
0.5000 0.0000 0.0000
0.5000 0.5000 0.5000
```

---

[9]
The following is a DFT calculation (GGA-PBE) of crystalline Dy8Er6Mg at its relaxed geometry.

Properties
As for the energy: -4.24 eV per atom. The calculation puts the density of states at the Fermi level at 20.602 states/eV/cell. The formation energy from the elements is 150 meV/atom.

```
Dy8Er6Mg
1.0
-4.8132 -3.7793 -1.0308
2.0451 -0.1207 -9.1066
3.7629 -6.3506 5.7129
Dy Er Mg
8 6 1
Direct
0.8135 0.0389 0.2694
0.8135 0.7306 0.7695
0.8135 0.2305 0.9611
0.1865 0.9611 0.7306
0.1865 0.2694 0.2305
0.1865 0.7695 0.0389
0.8148 0.3333 0.6667
0.1852 0.6667 0.3333
0.6848 0.6397 0.0929
0.6848 0.9071 0.5468
0.6848 0.4532 0.3603
0.3152 0.3603 0.9071
0.3152 0.0929 0.4532
0.3152 0.5468 0.6397
0.5000 0.0000 0.0000
```

---

[10]
The following is a DFT calculation (GGA-PBE) of crystalline Dy2Er3Mg2 at its relaxed geometry.

Properties
As for the energy: -3.67 eV per atom. The calculation puts the density of states at the Fermi level at 9.546 states/eV/cell. The formation energy from the elements is 59 meV/atom.

```
Dy2Er3Mg2
1.0
3.6727 0.0000 -0.4431
0.0000 3.5997 0.0000
0.0047 0.0000 15.4797
Dy Er Mg
2 3 2
Direct
0.2966 0.5000 0.5932
0.7034 0.5000 0.4068
0.4227 0.5000 0.8454
0.5773 0.5000 0.1546
0.0000 0.0000 0.0000
0.1400 0.0000 0.2800
0.8600 0.0000 0.7200
```

---

[11]
The following is a DFT calculation (GGA-PBE) of crystalline DyEr4Mg7 at its relaxed geometry.

Properties
As for the energy: -2.85 eV per atom. The calculation puts the density of states at the Fermi level at 12.396 states/eV/cell. The formation energy from the elements is -15 meV/atom.

```
DyEr4Mg7
1.0
-2.2929 -4.4384 1.7094
4.1982 -0.2575 -3.1918
7.9458 -0.0772 10.4574
Dy Er Mg
1 4 7
Direct
0.0000 0.0000 0.5000
0.3333 0.6667 0.9227
0.6667 0.3333 0.0773
0.3333 0.6667 0.6619
0.6667 0.3333 0.3381
0.0000 0.0000 0.0000
0.3333 0.6667 0.4176
0.6667 0.3333 0.5824
0.3333 0.6667 0.1811
0.6667 0.3333 0.8189
0.0000 0.0000 0.7622
0.0000 0.0000 0.2378
```

---

[12]
The following is a DFT calculation (GGA-PBE) of crystalline Dy6ErMg at its relaxed geometry.

Properties
As for the energy: -4.09 eV per atom. The calculation puts the density of states at the Fermi level at 12.260 states/eV/cell. The formation energy from the elements is 134 meV/atom.

```
Dy6ErMg
1.0
-1.6033 0.0590 8.3360
-6.6459 -5.2361 4.0464
-0.3590 -4.6341 4.2901
Dy Er Mg
6 1 1
Direct
0.9553 0.4874 0.8034
0.7541 0.9555 0.7784
0.4874 0.2459 0.3115
0.2459 0.0445 0.2216
0.0447 0.5126 0.1966
0.5126 0.7541 0.6885
0.5000 0.5000 0.5000
0.0000 0.0000 0.0000
```